# 1
VASP calculation (PBE-GGA) on crystalline VNiBrCl2 at its relaxed geometry. Values from VASP.

The structure in Quantum ESPRESSO input format:
```
&SYSTEM
  ibrav = 0, nat = 5, ntyp = 4
/
ATOMIC_SPECIES
V 50.94 V.upf
Ni 58.69 Ni.upf
Br 79.90 Br.upf
Cl 35.45 Cl.upf
ATOMIC_POSITIONS angstrom
V 0.000 0.000 0.000
Ni 3.048 3.048 0.000
Br 0.000 0.000 2.284
Cl 0.000 3.048 2.284
Cl 3.048 0.000 2.284
CELL_PARAMETERS angstrom
6.096 0.000 0.000
0.000 6.096 0.000
0.000 0.000 4.569
```

Summary:
- symmetry = P4/mmm
- E_form (uncorrected) (eV per atom) = 1.0087
- crystal system = tetragonal

***

# 2
VASP calculation (PBE-GGA) on crystalline LiTc2P at its relaxed geometry. Values from VASP.

The structure in Quantum ESPRESSO input format:
```
&SYSTEM
  ibrav = 0, nat = 8, ntyp = 3
/
ATOMIC_SPECIES
Li 6.94 Li.upf
Tc 98.00 Tc.upf
P 30.97 P.upf
ATOMIC_POSITIONS angstrom
Li 0.000 0.000 0.000
Li 2.697 3.974 0.000
Tc 0.770 1.987 1.232
Tc 0.770 5.961 1.232
Tc 3.467 1.987 1.232
Tc 3.467 5.961 1.232
P 0.000 3.974 0.000
P 2.697 0.000 0.000
CELL_PARAMETERS angstrom
5.394 0.000 0.000
0.000 7.948 0.000
-1.156 0.000 2.465
```

Summary:
- symmetry = C2/m
- energy relative to the elements (eV/atom) = 0.118
- crystal system = monoclinic

***

# 3
VASP calculation (PBE-GGA) on crystalline KRb2CrS4 at its relaxed geometry. Values from VASP.

The structure in Quantum ESPRESSO input format:
```
&SYSTEM
  ibrav = 0, nat = 16, ntyp = 4
/
ATOMIC_SPECIES
K 39.10 K.upf
Rb 85.47 Rb.upf
Cr 52.00 Cr.upf
S 32.06 S.upf
ATOMIC_POSITIONS angstrom
K 0.893 1.600 3.359
K 6.249 11.198 23.513
Rb 2.678 4.799 1.808
Rb 4.464 7.999 8.526
Rb 2.678 4.799 18.346
Rb 4.464 7.999 25.064
Cr 2.678 4.799 10.077
Cr 4.464 7.999 16.795
S 3.860 3.527 8.826
S 3.860 6.072 11.328
S 5.646 6.726 18.047
S 1.496 3.527 11.328
S 5.646 9.271 15.544
S 1.496 6.072 8.826
S 3.281 6.726 15.544
S 3.281 9.271 18.047
CELL_PARAMETERS angstrom
0.000 6.399 13.436
3.571 0.000 13.436
3.571 6.399 0.000
```

Summary:
- symmetry = Fddd
- E_form (uncorrected) (eV per atom) = -0.8091
- crystal system = orthorhombic

***

# 4
VASP calculation (PBE-GGA) on crystalline Ti3ZnN at its relaxed geometry. Values from VASP.

The structure in Quantum ESPRESSO input format:
```
&SYSTEM
  ibrav = 0, nat = 5, ntyp = 3
/
ATOMIC_SPECIES
Ti 47.87 Ti.upf
Zn 65.41 Zn.upf
N 14.01 N.upf
ATOMIC_POSITIONS angstrom
Ti 0.000 0.000 2.055
Ti 0.000 2.055 0.000
Ti 2.055 0.000 0.000
Zn 2.055 2.055 2.055
N 0.000 0.000 0.000
CELL_PARAMETERS angstrom
4.110 0.000 0.000
0.000 4.110 0.000
0.000 0.000 4.110
```

Summary:
- symmetry = Pm-3m
- E_form (uncorrected) (eV per atom) = -0.8928
- energy relative to the lowest polymorph listed for this composition (meV per atom) = 6.2
- crystal system = cubic

***

# 5
VASP calculation (PBE-GGA) on crystalline CdTcIr2 at its relaxed geometry. Values from VASP.

The structure in Quantum ESPRESSO input format:
```
&SYSTEM
  ibrav = 0, nat = 12, ntyp = 3
/
ATOMIC_SPECIES
Cd 112.41 Cd.upf
Tc 98.00 Tc.upf
Ir 192.22 Ir.upf
ATOMIC_POSITIONS angstrom
Cd 0.000 0.000 0.000
Cd 0.000 1.625 18.376
Cd 1.407 0.812 9.188
Tc 0.000 0.000 13.782
Tc 0.000 1.625 4.594
Tc 1.407 0.812 22.970
Ir 0.000 0.000 6.706
Ir 0.000 0.000 20.858
Ir 0.000 1.625 11.670
Ir 0.000 1.625 25.082
Ir 1.407 0.812 2.482
Ir 1.407 0.812 15.894
CELL_PARAMETERS angstrom
2.814 0.000 0.000
-1.407 2.437 0.000
0.000 0.000 27.564
```

Summary:
- symmetry = R-3m
- energy relative to the elements (eV/atom) = 0.037
- crystal system = trigonal

***

# 6
VASP calculation (PBE-GGA) on crystalline CsAg2HgP at its relaxed geometry. Values from VASP.

The structure in Quantum ESPRESSO input format:
```
&SYSTEM
  ibrav = 0, nat = 5, ntyp = 4
/
ATOMIC_SPECIES
Cs 132.91 Cs.upf
Ag 107.87 Ag.upf
Hg 200.59 Hg.upf
P 30.97 P.upf
ATOMIC_POSITIONS angstrom
Cs 0.000 0.000 0.000
Ag 0.000 2.555 2.774
Ag 2.555 0.000 2.774
Hg 2.555 2.555 0.000
P 2.555 2.555 2.774
CELL_PARAMETERS angstrom
5.110 0.000 0.000
0.000 5.110 0.000
0.000 0.000 5.547
```

Summary:
- symmetry = P4/mmm
- energy relative to the elements (eV/atom) = 0.085
- crystal system = tetragonal